Material: LiY2Cr
Method: DFT, PBE
State: relaxed

Total moment: 2.9 μB/f.u.
Total energy: -5.826 eV/atom
Energy of formation: 0.2907 eV per atom
Crystal system: monoclinic
Fermi-level density of states: 3.16 states/eV/f.u.

Cell: 11.309 3.519 5.184 Å, 90.00 111.27 90.00°
Atoms (fractional coordinates):
Li 0.000 0.000 0.000
Li 0.500 0.500 0.000
Y 0.232 0.000 0.781
Y 0.448 0.000 0.448
Y 0.732 0.500 0.781
Y 0.948 0.500 0.448
Cr 0.203 0.500 0.265
Cr 0.703 0.000 0.265